(1)
VASP calculation (GGA-PBE) on an optimized crystal structure of CaAlH5.

a b c (Å): 8.2891 6.8741 12.3100
angles (deg): 90.00 128.62 90.00
Closest atoms and distances in Å follow each position.
Space group P2_1/c (No. 14)
Symmetry-distinct sites (fractional):
Ca: 0.1565 0.2284 0.3483 [4 per cell]  10 H 2.30-2.55
Ca: 0.2845 0.7296 0.5443 [4 per cell]  10 H 2.27-2.53
Al: 0.2829 0.2205 0.6560 [4 per cell]  6 H 1.69-1.84
Al: 0.3071 0.6908 0.3108 [4 per cell]  6 H 1.69-1.78
H: 0.0572 0.2112 0.6298 [4 per cell]  1 Al 1.69
H: 0.1095 0.7076 0.1372 [4 per cell]  1 Al 1.70
H: 0.1500 0.5621 0.3365 [4 per cell]  1 Al 1.76
H: 0.1930 0.6140 0.8360 [4 per cell]  1 Al 1.78
H: 0.2233 0.0971 0.0425 [4 per cell]  1 Al 1.71
H: 0.2334 0.0548 0.5367 [4 per cell]  1 Al 1.69
H: 0.3869 0.1399 0.3018 [4 per cell]  1 Al 1.72
H: 0.3895 0.0320 0.7904 [4 per cell]  2 Al 1.76-1.84
H: 0.4537 0.6933 0.7763 [4 per cell]  2 Al 1.71-1.80
H: 0.4993 0.6953 0.4849 [4 per cell]  1 Al 1.69

DOS(E_F), states/eV/atom: 0.000
Total magnetic moment, μB/f.u.: 0.00
Total energy, eV for the cell shown: -197.38

---

(2)
VASP calculation (GGA-PBE) on an optimized crystal structure of CaAl2H.

a b c (Å): 5.8739 5.8739 8.2974
angles (deg): 90.00 90.00 90.00
Closest atoms and distances in Å follow each position.
Space group I4_1/amd (No. 141, origin choice 2)
Symmetry-distinct sites (fractional):
Ca: 0.0000 0.2500 0.3750 [4 per cell]  12 Al 3.44, 4 H 3.60, 4 Ca 3.60
Al: 0.0000 0.0000 0.0000 [8 per cell]  2 H 1.80
H: 0.0000 0.2500 0.8750 [4 per cell]  4 Al 1.80

DOS(E_F), states/eV/atom: 0.614
Total magnetic moment, μB/f.u.: 0.00
Total energy, eV for the cell shown: -51.26

---

(3)
VASP calculation (GGA-PBE) on an optimized crystal structure of CaAlH5.

a b c (Å): 9.9930 5.6935 12.2157
angles (deg): 90.00 116.54 90.00
Closest atoms and distances in Å follow each position.
Space group P2_1/c (No. 14)
Symmetry-distinct sites (fractional):
Ca: 0.0605 0.1056 0.1737 [4 per cell]  5 H 2.19-2.31
Ca: 0.3491 0.6802 0.3802 [4 per cell]  8 H 2.20-2.40
Al: 0.2613 0.7424 0.1106 [4 per cell]  4 H 1.64-1.71
Al: 0.3063 0.2426 0.0222 [4 per cell]  5 H 1.64-1.83
H: 0.0819 0.7039 0.5291 [4 per cell]  1 Al 1.64
H: 0.1080 0.7035 0.7931 [4 per cell]  3 Ca 2.19-2.25
H: 0.1701 0.2294 0.0626 [4 per cell]  1 Al 1.64
H: 0.1741 0.1490 0.8682 [4 per cell]  1 Al 1.83
H: 0.2864 0.5485 0.0005 [4 per cell]  2 Al 1.76-1.84
H: 0.2879 0.5163 0.2009 [4 per cell]  1 Al 1.64
H: 0.2884 0.5594 0.7234 [4 per cell]  1 Al 1.71
H: 0.3488 0.5770 0.5545 [4 per cell]  2 Al 1.68-1.87
H: 0.4279 0.2043 0.9551 [4 per cell]  1 Al 1.76
H: 0.4585 0.2281 0.6589 [4 per cell]  1 Al 1.69

DOS(E_F), states/eV/atom: 0.000
Total magnetic moment, μB/f.u.: 0.00
Total energy, eV for the cell shown: -193.09

---

(4)
VASP calculation (GGA-PBE) on an optimized crystal structure of Ca2AlH.

a b c (Å): 7.2957 7.2957 7.2957
angles (deg): 90.00 90.00 90.00
Closest atoms and distances in Å follow each position.
Space group Fm-3m (No. 225)
Symmetry-distinct sites (fractional):
Ca: 0.2500 0.2500 0.2500 [8 per cell]  4 H 3.16, 4 Al 3.16
Al: 0.0000 0.0000 0.0000 [4 per cell]  8 Ca 3.16
H: 0.0000 0.0000 0.5000 [4 per cell]  8 Ca 3.16

DOS(E_F), states/eV/atom: 0.801
Total magnetic moment, μB/f.u.: 0.00
Total energy, eV for the cell shown: -41.40

---

(5)
VASP calculation (GGA-PBE) on an optimized crystal structure of CaAlH5.

a b c (Å): 7.7711 5.1214 7.4940
angles (deg): 90.00 114.76 90.00
Closest atoms and distances in Å follow each position.
Space group C2/c (No. 15)
Symmetry-distinct sites (fractional):
Ca: 0.0000 0.0087 0.2500 [4 per cell]  7 H 2.22-2.47
Al: 0.0000 0.5000 0.0000 [4 per cell]  4 H 1.68-1.72
H: 0.0000 0.4741 0.7500 [4 per cell]  2 Al 1.88
H: 0.1107 0.2012 0.5427 [8 per cell]  1 Al 1.72
H: 0.2039 0.3380 0.1190 [8 per cell]  1 Al 1.68

DOS(E_F), states/eV/atom: 0.000
Total magnetic moment, μB/f.u.: 0.00
Total energy, eV for the cell shown: -97.08

---

(6)
VASP calculation (GGA-PBE) on an optimized crystal structure of CaAl2H6.

a b c (Å): 7.0911 7.0911 7.0911
angles (deg): 90.00 90.00 90.00
Closest atoms and distances in Å follow each position.
Space group Fm-3m (No. 225)
Symmetry-distinct sites (fractional):
Ca: 0.0000 0.0000 0.0000 [4 per cell]  6 H 2.03
Al: 0.2500 0.2500 0.2500 [8 per cell]  12 H 2.52
H: 0.0000 0.0000 0.2859 [24 per cell]  1 Ca 2.03, 4 H 2.15

DOS(E_F), states/eV/atom: 0.127
Total magnetic moment, μB/f.u.: 0.00
Total energy, eV for the cell shown: -96.00